Here is crystalline Y2BeRe2 at its relaxed geometry from Alexandria via LeMat-Bulk. Energies are from GGA-PBE.

* SG: I4/mmm, No. 139
* formation enthalpy at 0 K: 822.6 meV/atom
* total moment: 0.00 Bohr magnetons per cell
* total DFT energy (no corrections): -7.487 eV per atom
* energy relative to the lowest polymorph listed for this composition: 0.606 eV per atom

Unit cell a=5.5565 b=5.5565 c=5.3275 alpha=58.57 beta=58.57 gamma=90.00
Sites, in units of the cell vectors:
1 Y 0.7500 0.2500 0.5000
2 Y 0.2500 0.7500 0.5000
3 Re 0.3313 0.3313 0.3373
4 Re 0.6687 0.6687 0.6627
5 Be 0.0000 0.0000 0.0000